(1)
KPtBr: relaxed, PBE-GGA.

The structure in CIF format:
```
data_KPtBr
_cell_length_a 3.965
_cell_length_b 5.093
_cell_length_c 9.634
_cell_angle_alpha 83.83
_cell_angle_beta 88.70
_cell_angle_gamma 67.14
_symmetry_space_group_name_H-M 'P 1'
_symmetry_Int_Tables_number 1
loop_
_symmetry_equiv_pos_as_xyz
'x,y,z'
loop_
_atom_site_label
_atom_site_type_symbol
_atom_site_fract_x
_atom_site_fract_y
_atom_site_fract_z
_atom_site_occupancy
K1 K 0.000 0.000 0.000 1
K2 K 0.342 0.359 0.589 1
Pt1 Pt 0.002 0.070 0.332 1
Pt2 Pt 0.679 0.716 0.326 1
Br1 Br 0.336 0.412 0.240 1
Br2 Br 0.687 0.645 0.814 1
```

Computed properties:
SG	P1, No. 1
total magnetic moment	0.000	μB/f.u.
raw formation energy	-625	meV/atom
relative energy among the computed polymorphs	0.14	eV per formula unit
raw total energy	-3.562	eV/atom

(2)
NaHgPd: relaxed, PBE-GGA.

The structure in CIF format:
```
data_NaHgPd
_cell_length_a 4.823
_cell_length_b 4.823
_cell_length_c 3.104
_cell_angle_alpha 90.00
_cell_angle_beta 90.00
_cell_angle_gamma 120.00
_symmetry_space_group_name_H-M 'P 1'
_symmetry_Int_Tables_number 1
loop_
_symmetry_equiv_pos_as_xyz
'x,y,z'
loop_
_atom_site_label
_atom_site_type_symbol
_atom_site_fract_x
_atom_site_fract_y
_atom_site_fract_z
_atom_site_occupancy
Na1 Na 0.000 0.000 0.000 1
Hg1 Hg 0.667 0.333 0.500 1
Pd1 Pd 0.333 0.667 0.500 1
```

Computed properties:
SG	P-6m2, No. 187
total magnetic moment	0.000	μB/f.u.
energy of formation	-0.1627	eV/atom
relative energy among the computed polymorphs	0.37	eV per formula unit
raw total energy	-2.434	eV/atom

(3)
Pu4NiRu3: relaxed, PBE-GGA.

The structure in CIF format:
```
data_Pu4NiRu3
_cell_length_a 7.614
_cell_length_b 7.614
_cell_length_c 7.614
_cell_angle_alpha 143.73
_cell_angle_beta 143.73
_cell_angle_gamma 52.24
_symmetry_space_group_name_H-M 'P 1'
_symmetry_Int_Tables_number 1
loop_
_symmetry_equiv_pos_as_xyz
'x,y,z'
loop_
_atom_site_label
_atom_site_type_symbol
_atom_site_fract_x
_atom_site_fract_y
_atom_site_fract_z
_atom_site_occupancy
Pu1 Pu 0.124 0.624 0.500 1
Pu2 Pu 0.376 0.876 0.500 1
Pu3 Pu 0.624 0.124 0.500 1
Pu4 Pu 0.876 0.376 0.500 1
Ni1 Ni 0.000 0.000 0.000 1
Ru1 Ru 0.251 0.251 0.000 1
Ru2 Ru 0.500 0.500 0.000 1
Ru3 Ru 0.749 0.749 0.000 1
```

Computed properties:
SG	I4/mmm, No. 139
total magnetic moment	18.236	μB/f.u.
energy of formation	-0.1214	eV/atom
raw total energy	-11.488	eV/atom

(4)
Hg2Ge2Au: relaxed, PBE-GGA.

The structure in CIF format:
```
data_Hg2Ge2Au
_cell_length_a 7.934
_cell_length_b 7.934
_cell_length_c 7.934
_cell_angle_alpha 150.86
_cell_angle_beta 150.86
_cell_angle_gamma 41.68
_symmetry_space_group_name_H-M 'P 1'
_symmetry_Int_Tables_number 1
loop_
_symmetry_equiv_pos_as_xyz
'x,y,z'
loop_
_atom_site_label
_atom_site_type_symbol
_atom_site_fract_x
_atom_site_fract_y
_atom_site_fract_z
_atom_site_occupancy
Hg1 Hg 0.250 0.750 0.500 1
Hg2 Hg 0.750 0.250 0.500 1
Ge1 Ge 0.085 0.085 0.000 1
Ge2 Ge 0.915 0.915 0.000 1
Au1 Au 0.500 0.500 0.000 1
```

Computed properties:
SG	I4/mmm, No. 139
total magnetic moment	0.000	μB/f.u.
energy of formation	0.3831	eV/atom
relative energy among the computed polymorphs	1.63	eV per formula unit
raw total energy	-2.240	eV/atom

(5)
Pd4Pt3Rh: relaxed, PBE-GGA.

The structure in CIF format:
```
data_Pd4Pt3Rh
_cell_length_a 2.785
_cell_length_b 3.927
_cell_length_c 11.177
_cell_angle_alpha 90.00
_cell_angle_beta 90.05
_cell_angle_gamma 90.00
_symmetry_space_group_name_H-M 'P 1'
_symmetry_Int_Tables_number 1
loop_
_symmetry_equiv_pos_as_xyz
'x,y,z'
loop_
_atom_site_label
_atom_site_type_symbol
_atom_site_fract_x
_atom_site_fract_y
_atom_site_fract_z
_atom_site_occupancy
Pd1 Pd 0.000 0.000 0.000 1
Pd2 Pd 0.000 0.000 0.252 1
Pd3 Pd 0.499 0.500 0.629 1
Pd4 Pd 0.500 0.500 0.377 1
Pt1 Pt 0.000 0.000 0.503 1
Pt2 Pt 0.500 0.500 0.124 1
Pt3 Pt 0.999 0.000 0.755 1
Rh1 Rh 0.500 0.500 0.877 1
```

Computed properties:
SG	Pm, No. 6
total magnetic moment	0.000	μB/f.u.
energy of formation	-0.0016	eV/atom
raw total energy	-5.782	eV/atom

(6)
RbPuTeS: relaxed, PBE-GGA.

The structure in CIF format:
```
data_RbPuTeS
_cell_length_a 8.976
_cell_length_b 8.976
_cell_length_c 8.976
_cell_angle_alpha 26.95
_cell_angle_beta 26.95
_cell_angle_gamma 26.95
_symmetry_space_group_name_H-M 'P 1'
_symmetry_Int_Tables_number 1
loop_
_symmetry_equiv_pos_as_xyz
'x,y,z'
loop_
_atom_site_label
_atom_site_type_symbol
_atom_site_fract_x
_atom_site_fract_y
_atom_site_fract_z
_atom_site_occupancy
Rb1 Rb 0.000 0.000 0.000 1
Pu1 Pu 0.847 0.847 0.847 1
Te1 Te 0.436 0.436 0.436 1
S1 S 0.571 0.571 0.571 1
```

Computed properties:
SG	R3m, No. 160
total magnetic moment	5.000	μB/f.u.
raw formation energy	-1185	meV/atom
raw total energy	-6.827	eV/atom

(7)
Pt3SeS: relaxed, PBE-GGA.

The structure in CIF format:
```
data_Pt3SeS
_cell_length_a 4.557
_cell_length_b 4.557
_cell_length_c 4.557
_cell_angle_alpha 90.00
_cell_angle_beta 90.00
_cell_angle_gamma 90.00
_symmetry_space_group_name_H-M 'P 1'
_symmetry_Int_Tables_number 1
loop_
_symmetry_equiv_pos_as_xyz
'x,y,z'
loop_
_atom_site_label
_atom_site_type_symbol
_atom_site_fract_x
_atom_site_fract_y
_atom_site_fract_z
_atom_site_occupancy
Pt1 Pt 0.000 0.000 0.500 1
Pt2 Pt 0.000 0.500 0.000 1
Pt3 Pt 0.500 0.000 0.000 1
Se1 Se 0.500 0.500 0.500 1
S1 S 0.000 0.000 0.000 1
```

Computed properties:
SG	Pm-3m, No. 221
total magnetic moment	0.000	μB/f.u.
raw formation energy	558	meV/atom
relative energy among the computed polymorphs	0.00	eV per formula unit
raw total energy	-4.588	eV/atom

(8)
Li3InPb: relaxed, PBE-GGA.

The structure in CIF format:
```
data_Li3InPb
_cell_length_a 5.217
_cell_length_b 5.217
_cell_length_c 5.217
_cell_angle_alpha 90.00
_cell_angle_beta 90.00
_cell_angle_gamma 90.00
_symmetry_space_group_name_H-M 'P 1'
_symmetry_Int_Tables_number 1
loop_
_symmetry_equiv_pos_as_xyz
'x,y,z'
loop_
_atom_site_label
_atom_site_type_symbol
_atom_site_fract_x
_atom_site_fract_y
_atom_site_fract_z
_atom_site_occupancy
Li1 Li 0.000 0.000 0.500 1
Li2 Li 0.000 0.500 0.000 1
Li3 Li 0.500 0.000 0.000 1
In1 In 0.500 0.500 0.500 1
Pb1 Pb 0.000 0.000 0.000 1
```

Computed properties:
SG	Pm-3m, No. 221
total magnetic moment	0.000	μB/f.u.
energy of formation	0.0704	eV/atom
relative energy among the computed polymorphs	1.73	eV per formula unit
raw total energy	-2.367	eV/atom

(9)
ReMo2Pb: relaxed, PBE-GGA.

The structure in CIF format:
```
data_ReMo2Pb
_cell_length_a 5.061
_cell_length_b 5.061
_cell_length_c 4.860
_cell_angle_alpha 103.57
_cell_angle_beta 103.57
_cell_angle_gamma 35.98
_symmetry_space_group_name_H-M 'P 1'
_symmetry_Int_Tables_number 1
loop_
_symmetry_equiv_pos_as_xyz
'x,y,z'
loop_
_atom_site_label
_atom_site_type_symbol
_atom_site_fract_x
_atom_site_fract_y
_atom_site_fract_z
_atom_site_occupancy
Re1 Re 0.000 0.000 0.000 1
Mo1 Mo 0.470 0.470 0.414 1
Mo2 Mo 0.731 0.731 0.193 1
Pb1 Pb 0.236 0.236 0.699 1
```

Computed properties:
SG	Cm, No. 8
total magnetic moment	0.000	μB/f.u.
energy of formation	0.6054	eV/atom
raw total energy	-8.849	eV/atom

(10)
TcBi2Os: relaxed, PBE-GGA.

The structure in CIF format:
```
data_TcBi2Os
_cell_length_a 4.801
_cell_length_b 4.801
_cell_length_c 4.801
_cell_angle_alpha 60.00
_cell_angle_beta 60.00
_cell_angle_gamma 60.00
_symmetry_space_group_name_H-M 'P 1'
_symmetry_Int_Tables_number 1
loop_
_symmetry_equiv_pos_as_xyz
'x,y,z'
loop_
_atom_site_label
_atom_site_type_symbol
_atom_site_fract_x
_atom_site_fract_y
_atom_site_fract_z
_atom_site_occupancy
Tc1 Tc 0.000 0.000 0.000 1
Bi1 Bi 0.250 0.250 0.250 1
Bi2 Bi 0.750 0.750 0.750 1
Os1 Os 0.500 0.500 0.500 1
```

Computed properties:
SG	Fm-3m, No. 225
total magnetic moment	0.000	μB/f.u.
energy of formation	0.8308	eV/atom
relative energy among the computed polymorphs	0.00	eV per formula unit
raw total energy	-6.509	eV/atom

What is the total magnetic moment in the third record? 18.236 μB/f.u.

Look up the total magnetic moment of the fourth one. 0.000 μB/f.u.

What is the total magnetic moment in the tenth record? 0.000 μB/f.u.